# 1
AlCr2Pd | PBE-GGA | relaxed

Crystal system: tetragonal
E_form (kJ per mole of atoms): 55

CIF file:
```
data_AlCr2Pd
_chemical_formula_sum 'Al4 Cr8 Pd4'
_symmetry_space_group_name_H-M 'I -4 2 d'
_symmetry_Int_Tables_number 122
_symmetry_space_group_name_Hall 'I -4 2bw'
_cell_length_a 6.9154
_cell_length_b 6.9154
_cell_length_c 4.8797
_cell_angle_alpha 90.00
_cell_angle_beta 90.00
_cell_angle_gamma 90.00
loop_
_atom_site_label
_atom_site_type_symbol
_atom_site_fract_x
_atom_site_fract_y
_atom_site_fract_z
_atom_site_occupancy
Al1 Al 0.0000 0.0000 0.0000 1
Cr1 Cr 0.2448 0.2500 0.6250 1
Pd1 Pd 0.0000 0.0000 0.5000 1
```


# 2
Ti2ICl | PBE-GGA | relaxed

Crystal system: cubic
Offset from the most stable computed form (meV/atom): 66
E_form (uncorrected) (eV per atom): 0.00

CIF file:
```
data_Ti2ICl
_chemical_formula_sum 'Ti8 I4 Cl4'
_symmetry_space_group_name_H-M 'F m -3 m'
_symmetry_Int_Tables_number 225
_symmetry_space_group_name_Hall '-F 4 2 3'
_cell_length_a 6.6679
_cell_length_b 6.6679
_cell_length_c 6.6679
_cell_angle_alpha 90.00
_cell_angle_beta 90.00
_cell_angle_gamma 90.00
loop_
_atom_site_label
_atom_site_type_symbol
_atom_site_fract_x
_atom_site_fract_y
_atom_site_fract_z
_atom_site_occupancy
Ti1 Ti 0.2500 0.2500 0.2500 1
I1 I 0.0000 0.0000 0.0000 1
Cl1 Cl 0.0000 0.0000 0.5000 1
```


# 3
NiW | PBE-GGA | relaxed

Crystal system: orthorhombic
E_form (kJ per mole of atoms): 6

CIF file:
```
data_NiW
_chemical_formula_sum 'Ni8 W8'
_symmetry_space_group_name_H-M 'P n m a'
_symmetry_Int_Tables_number 62
_symmetry_space_group_name_Hall '-P 2ac 2n'
_cell_length_a 9.4861
_cell_length_b 4.2942
_cell_length_c 5.2838
_cell_angle_alpha 90.00
_cell_angle_beta 90.00
_cell_angle_gamma 90.00
loop_
_atom_site_label
_atom_site_type_symbol
_atom_site_fract_x
_atom_site_fract_y
_atom_site_fract_z
_atom_site_occupancy
Ni1 Ni 0.0836 0.2500 0.2306 1
Ni2 Ni 0.1619 0.7500 0.9952 1
W1 W 0.0703 0.2500 0.7336 1
W2 W 0.1818 0.7500 0.4866 1
```


What are the total magnetic moment values for these records? In order: 3.75, 7.79, 0.00 Bohr magnetons per cell.